# 1
Compound: BeRh
Source: Alexandria
Functional: PBEsol
Structure: optimized geometry

```
BeRh
1.0
3.7120 0.0000 0.0000
-1.8560 3.2147 0.0000
0.0000 0.0000 4.3816
Be Rh
2 2
Direct
0.6667 0.3333 0.2500
0.3333 0.6667 0.7500
0.6667 0.3333 0.7500
0.3333 0.6667 0.2500
```

SG = P6_3/mmc, No. 194


# 2
Compound: Be3Rh
Source: Alexandria
Functional: PBEsol
Structure: optimized geometry

```
Be3Rh
1.0
-2.6608 0.8455 0.5688
-0.8432 -0.3438 -3.4338
0.7699 -3.7388 2.0229
Be Rh
3 1
Direct
0.7549 0.7549 0.5098
0.2451 0.2451 0.4902
0.5000 0.0000 0.0000
0.0000 0.5000 0.0000
```

SG = Immm, No. 71


# 3
Compound: BeRh
Source: Alexandria
Functional: PBEsol
Structure: optimized geometry

```
BeRh
1.0
2.7569 0.0000 0.0000
0.0000 2.7569 0.0000
0.0000 0.0000 5.5387
Be Rh
2 2
Direct
0.5000 0.0000 0.1014
0.0000 0.5000 0.8986
0.5000 0.0000 0.6715
0.0000 0.5000 0.3285
```

SG = P4/nmm, No. 129


# 4
Compound: BeRuRh2
Source: Alexandria
Functional: PBEsol
Structure: optimized geometry

```
BeRuRh2
1.0
-0.3255 1.3666 -2.2958
0.2643 -2.2850 -1.3976
-6.4664 -0.9595 0.3456
Ru Rh Be
1 2 1
Direct
0.5000 0.5000 0.0000
0.0000 0.0000 0.7166
0.0000 0.0000 0.2834
0.5000 0.5000 0.5000
```

SG = P4/mmm, No. 123


Number 1: energy of formation from the pure elements 20.28 kJ/mol of atoms. Number 2: energy of formation from the pure elements -43.60 kJ/mol of atoms. Number 3: energy of formation from the pure elements -40.64 kJ/mol of atoms. Number 4: energy of formation from the pure elements -26.67 kJ/mol of atoms.